one | The following is a GGA-PBE calculation of crystalline IrRu4Rh at its relaxed geometry, from Alexandria.

**Spin magnetization**: 0.00 μB/cell

The structure in extended XYZ format:
```
6
Lattice="0.000 3.552 3.552 3.552 0.000 3.552 3.552 3.552 0.000" Properties=species:S:1:pos:R:3 pbc="T T T"
Ir 0.000 0.000 0.000
Ru 2.664 2.664 2.664
Ru 4.439 4.439 2.664
Ru 4.439 2.664 4.439
Ru 2.664 4.439 4.439
Rh 5.327 5.327 5.327
```

two | The following is a GGA-PBE calculation of crystalline IrRu4Rh at its relaxed geometry, from Alexandria.

**Spin magnetization**: 0.00 μB/cell

The structure in extended XYZ format:
```
12
Lattice="4.326 0.000 0.000 0.000 2.735 0.000 0.000 0.000 14.237" Properties=species:S:1:pos:R:3 pbc="T T T"
Ir 0.000 0.000 0.000
Ir 0.000 1.368 7.118
Ru 0.000 0.000 4.723
Ru 0.000 0.000 9.502
Ru 0.000 1.368 2.383
Ru 0.000 1.368 11.841
Ru 2.163 0.000 7.885
Ru 2.163 0.000 12.665
Ru 2.163 1.368 0.767
Ru 2.163 1.368 5.546
Rh 2.163 0.000 3.160
Rh 2.163 1.368 10.278
```

Of them, two has the highest stability.

one | The following is a GGA-PBE calculation of crystalline Ir2RuRh at its relaxed geometry, from Alexandria.

**Spin magnetization**: 1.88 μB/cell

The structure in extended XYZ format:
```
8
Lattice="2.698 0.000 0.000 0.000 4.670 0.000 0.000 0.000 9.377" Properties=species:S:1:pos:R:3 pbc="T T T"
Ir 0.000 0.000 2.327
Ir 0.000 0.000 7.050
Ir 1.349 2.335 2.327
Ir 1.349 2.335 7.050
Ru 0.000 2.335 0.000
Ru 1.349 0.000 0.000
Rh 0.000 2.335 4.689
Rh 1.349 0.000 4.689
```

two | The following is a GGA-PBE calculation of crystalline Ir2RuRh at its relaxed geometry, from Alexandria.

**Spin magnetization**: 8.66 μB/cell

The structure in extended XYZ format:
```
16
Lattice="6.191 0.000 0.000 0.000 6.191 0.000 0.000 0.000 6.191" Properties=species:S:1:pos:R:3 pbc="T T T"
Ir 1.548 1.548 1.548
Ir 1.548 1.548 4.644
Ir 1.548 4.644 1.548
Ir 1.548 4.644 4.644
Ir 4.644 1.548 1.548
Ir 4.644 1.548 4.644
Ir 4.644 4.644 1.548
Ir 4.644 4.644 4.644
Ru 0.000 0.000 0.000
Ru 0.000 3.096 3.096
Ru 3.096 0.000 3.096
Ru 3.096 3.096 0.000
Rh 0.000 0.000 3.096
Rh 0.000 3.096 0.000
Rh 3.096 0.000 0.000
Rh 3.096 3.096 3.096
```

Of them, one has the highest stability.